Here is MnFeNO2 after structural relaxation from the Alexandria database. Energies are from PBE+U.

Computed properties:
- Total moment: 6.06 μB/cell
- Energy: -6.40 eV/atom

Unit cell a=3.8320 b=3.8320 c=3.6960 alpha=90.00 beta=90.00 gamma=90.00
Space group P4/mmm (No. 123)
Inequivalent atoms, fractional coordinates:
1 Mn 0.0000 0.0000 0.0000 (multiplicity 1)
2 Fe 0.5000 0.5000 0.5000 (multiplicity 1)
3 N 0.0000 0.0000 0.5000 (multiplicity 1)
4 O 0.0000 0.5000 0.0000 (multiplicity 2)